A relaxed structure of CrBiAsPt2. Source: Alexandria via LeMat-Bulk, functional PBE.

Calculated values
energy: -5.77 eV/atom
DFT formation energy: 0.280 eV/atom

Cell lengths 4.769, 4.769, 4.667 Å; angles 90.00, 90.00, 90.00 degrees
Space group P4/mmm (No. 123)
Inequivalent atoms, fractional coordinates:
Cr: 0.000 0.000 0.000 (multiplicity 1)
Bi: 0.500 0.500 0.000 (multiplicity 1)
As: 0.000 0.000 0.500 (multiplicity 1)
Pt: 0.000 0.500 0.500 (multiplicity 2)